Run i
VASP calculation (PBE) on a relaxed CuTe2I2 crystal.

Structure (POSCAR):
```
CuTe2I2
1.0
7.291 0.000 0.000
0.000 7.291 0.000
0.000 0.000 6.065
Cu Te I
2 4 4
Direct
0.000 0.000 0.000 Cu
0.500 0.500 0.000 Cu
0.165 0.335 0.000 Te
0.335 0.835 0.000 Te
0.665 0.165 0.000 Te
0.835 0.665 0.000 Te
0.180 0.320 0.500 I
0.320 0.820 0.500 I
0.680 0.180 0.500 I
0.820 0.680 0.500 I
```

Values from the calculation:
space-group type = P4/mbm

Run ii
VASP calculation (PBE) on a relaxed CuTe2I2 crystal.

Structure (POSCAR):
```
CuTe2I2
1.0
4.991 -5.032 0.000
4.991 5.032 0.000
-2.925 0.000 8.483
Cu Te I
2 4 4
Direct
0.181 0.819 0.000 Cu
0.819 0.181 0.000 Cu
0.118 0.118 0.248 Te
0.213 0.213 0.000 Te
0.787 0.787 0.000 Te
0.882 0.882 0.752 Te
0.211 0.592 0.732 I
0.408 0.789 0.268 I
0.592 0.211 0.732 I
0.789 0.408 0.268 I
```

Values from the calculation:
space-group type = C2/m

Of them, run ii has the highest stability.

Run i
VASP calculation (PBE) on a relaxed VCuTeI2 crystal.

Structure (POSCAR):
```
VCuTeI2
1.0
5.320 0.000 0.000
0.000 5.320 0.000
0.000 0.000 5.275
V Cu Te I
1 1 1 2
Direct
0.000 0.000 0.000 V
0.500 0.500 0.500 Cu
0.500 0.500 0.000 Te
0.000 0.500 0.500 I
0.500 0.000 0.500 I
```

Values from the calculation:
space-group type = P4/mmm

Run ii
VASP calculation (PBE) on a relaxed VCuTeI2 crystal.

Structure (POSCAR):
```
VCuTeI2
1.0
5.621 0.000 0.000
0.000 5.621 0.000
0.000 0.000 5.153
V Cu Te I
1 1 1 2
Direct
0.000 0.000 0.000 V
0.500 0.500 0.500 Cu
0.000 0.000 0.500 Te
0.000 0.500 0.000 I
0.500 0.000 0.000 I
```

Values from the calculation:
space-group type = P4/mmm

Of them, run ii has the highest stability.

Run i
VASP calculation (PBE) on a relaxed CuTe2WI crystal.

Structure (POSCAR):
```
CuTe2WI
1.0
5.209 0.000 0.000
0.000 5.209 0.000
0.000 0.000 5.848
Cu Te W I
1 2 1 1
Direct
0.000 0.000 0.000 Cu
0.000 0.500 0.500 Te
0.500 0.000 0.500 Te
0.500 0.500 0.500 W
0.500 0.500 0.000 I
```

Values from the calculation:
space-group type = P4/mmm

Run ii
VASP calculation (PBE) on a relaxed CuTe2WI crystal.

Structure (POSCAR):
```
CuTe2WI
1.0
5.157 0.000 0.000
0.000 5.157 0.000
0.000 0.000 5.110
Cu Te W I
1 2 1 1
Direct
0.000 0.000 0.000 Cu
0.000 0.500 0.000 Te
0.500 0.000 0.000 Te
0.500 0.500 0.500 W
0.000 0.000 0.500 I
```

Values from the calculation:
space-group type = P4/mmm

Of them, run i has the highest stability.

Run i
VASP calculation (PBE) on a relaxed ThCu2I8 crystal.

Structure (POSCAR):
```
ThCu2I8
1.0
10.037 -4.057 0.000
10.037 4.057 0.000
-8.514 0.000 11.267
Th Cu I
2 4 16
Direct
0.138 0.862 0.750 Th
0.862 0.138 0.250 Th
0.175 0.686 0.905 Cu
0.314 0.825 0.595 Cu
0.686 0.175 0.405 Cu
0.825 0.314 0.095 Cu
0.108 0.716 0.068 I
0.129 0.181 0.261 I
0.172 0.645 0.491 I
0.181 0.129 0.761 I
0.284 0.892 0.432 I
0.349 0.437 0.736 I
0.355 0.828 0.009 I
0.437 0.349 0.236 I
0.563 0.651 0.764 I
0.645 0.172 0.991 I
0.651 0.563 0.264 I
0.716 0.108 0.568 I
0.819 0.871 0.239 I
0.828 0.355 0.509 I
0.871 0.819 0.739 I
0.892 0.284 0.932 I
```

Values from the calculation:
space-group type = C2/c

Run ii
VASP calculation (PBE) on a relaxed ThCu2I8 crystal.

Structure (POSCAR):
```
ThCu2I8
1.0
5.955 -6.532 0.000
5.955 6.532 0.000
-1.802 0.000 6.784
Th Cu I
1 2 8
Direct
0.000 0.000 0.000 Th
0.188 0.188 0.697 Cu
0.812 0.812 0.303 Cu
0.061 0.724 0.203 I
0.227 0.227 0.346 I
0.276 0.939 0.797 I
0.422 0.422 0.810 I
0.578 0.578 0.190 I
0.724 0.061 0.203 I
0.773 0.773 0.654 I
0.939 0.276 0.797 I
```

Values from the calculation:
space-group type = C2/m

Of them, run ii has the highest stability.

Run i
VASP calculation (PBE) on a relaxed Ti2CuI crystal.

Structure (POSCAR):
```
Ti2CuI
1.0
-2.876 2.876 6.110
2.876 -2.876 6.110
2.876 2.876 -6.110
Ti Cu I
4 2 2
Direct
0.056 0.625 0.931 Ti
0.375 0.306 0.431 Ti
0.694 0.125 0.069 Ti
0.875 0.944 0.569 Ti
0.000 0.000 0.000 Cu
0.750 0.250 0.500 Cu
0.250 0.750 0.500 I
0.500 0.500 0.000 I
```

Values from the calculation:
space-group type = I-42d

Run ii
VASP calculation (PBE) on a relaxed Ti2CuI crystal.

Structure (POSCAR):
```
Ti2CuI
1.0
0.000 3.273 3.273
3.273 0.000 3.273
3.273 3.273 0.000
Ti Cu I
2 1 1
Direct
0.250 0.250 0.250 Ti
0.750 0.750 0.750 Ti
0.000 0.000 0.000 Cu
0.500 0.500 0.500 I
```

Values from the calculation:
space-group type = Fm-3m

Of them, run ii has the highest stability.

Run i
VASP calculation (PBE) on a relaxed TiCu2I6 crystal.

Structure (POSCAR):
```
TiCu2I6
1.0
6.932 -6.198 0.000
6.932 6.198 0.000
-1.305 0.000 7.190
Ti Cu I
2 4 12
Direct
0.108 0.892 0.750 Ti
0.892 0.108 0.250 Ti
0.245 0.389 0.658 Cu
0.389 0.245 0.158 Cu
0.611 0.755 0.842 Cu
0.755 0.611 0.342 Cu
0.042 0.184 0.605 I
0.124 0.629 0.850 I
0.184 0.042 0.105 I
0.275 0.465 0.347 I
0.371 0.876 0.650 I
0.465 0.275 0.847 I
0.535 0.725 0.153 I
0.629 0.124 0.350 I
0.725 0.535 0.653 I
0.816 0.958 0.895 I
0.876 0.371 0.150 I
0.958 0.816 0.395 I
```

Values from the calculation:
space-group type = C2/c

Run ii
VASP calculation (PBE) on a relaxed TiCu2I6 crystal.

Structure (POSCAR):
```
TiCu2I6
1.0
7.595 -6.168 0.000
7.595 6.168 0.000
-0.904 0.000 7.016
Ti Cu I
2 4 12
Direct
0.102 0.898 0.750 Ti
0.898 0.102 0.250 Ti
0.375 0.532 0.064 Cu
0.468 0.625 0.436 Cu
0.532 0.375 0.564 Cu
0.625 0.468 0.936 Cu
0.031 0.175 0.599 I
0.134 0.643 0.865 I
0.175 0.031 0.099 I
0.287 0.460 0.371 I
0.357 0.866 0.635 I
0.460 0.287 0.871 I
0.540 0.713 0.129 I
0.643 0.134 0.365 I
0.713 0.540 0.629 I
0.825 0.969 0.901 I
0.866 0.357 0.135 I
0.969 0.825 0.401 I
```

Values from the calculation:
space-group type = C2/c

Of them, run ii has the highest stability.

Run i
VASP calculation (PBE) on a relaxed TiCuI2 crystal.

Structure (POSCAR):
```
TiCuI2
1.0
-3.216 3.216 5.949
3.216 -3.216 5.949
3.216 3.216 -5.949
Ti Cu I
2 2 4
Direct
0.000 0.000 0.000 Ti
0.750 0.250 0.500 Ti
0.250 0.750 0.500 Cu
0.500 0.500 0.000 Cu
0.150 0.625 0.025 I
0.375 0.400 0.525 I
0.600 0.125 0.975 I
0.875 0.850 0.475 I
```

Values from the calculation:
space-group type = I-42d

Run ii
VASP calculation (PBE) on a relaxed TiCuI2 crystal.

Structure (POSCAR):
```
TiCuI2
1.0
0.000 3.579 3.579
3.579 0.000 3.579
3.579 3.579 0.000
Ti Cu I
1 1 2
Direct
0.000 0.000 0.000 Ti
0.500 0.500 0.500 Cu
0.250 0.250 0.250 I
0.750 0.750 0.750 I
```

Values from the calculation:
space-group type = Fm-3m

Of them, run i has the highest stability.

Run i
VASP calculation (PBE) on a relaxed Ti2Cu2I crystal.

Structure (POSCAR):
```
Ti2Cu2I
1.0
-1.930 1.930 6.326
1.930 -1.930 6.326
1.930 1.930 -6.326
Ti Cu I
2 2 1
Direct
0.250 0.750 0.500 Ti
0.750 0.250 0.500 Ti
0.103 0.103 0.000 Cu
0.897 0.897 0.000 Cu
0.500 0.500 0.000 I
```

Values from the calculation:
space-group type = I4/mmm

Run ii
VASP calculation (PBE) on a relaxed Ti2Cu2I crystal.

Structure (POSCAR):
```
Ti2Cu2I
1.0
7.108 0.000 0.000
0.000 7.108 0.000
0.000 0.000 3.461
Ti Cu I
4 4 2
Direct
0.161 0.339 0.000 Ti
0.339 0.839 0.000 Ti
0.661 0.161 0.000 Ti
0.839 0.661 0.000 Ti
0.123 0.623 0.500 Cu
0.377 0.123 0.500 Cu
0.623 0.877 0.500 Cu
0.877 0.377 0.500 Cu
0.000 0.000 0.500 I
0.500 0.500 0.500 I
```

Values from the calculation:
space-group type = P4/mbm

Of them, run ii has the highest stability.